# 1
An optimized crystal structure of SiRhC2, computed with PBE.

The volume is 11.33 Å³ per atom. The density of states at the Fermi level is 2.6 states/eV per cell. Its raw formation energy is 0.454 eV per atom.

The space group is Cm (No. 8) and the conventional cell measures 7.373, 2.994 and 5.010 Å, with angles of 90.00, 124.99 and 90.00 degrees. Symmetry generates all atoms from Si at (0.000, 0.000, 0.000), Rh at (0.395, 0.000, 0.341), C at (0.135, 0.000, 0.466) and C at (0.354, 0.000, 0.756).

# 2
An optimized crystal structure of SiRhC2, computed with PBE.

The volume is 10.61 Å³ per atom. The density of states at the Fermi level is 2.6 states/eV per cell. Its raw formation energy is 0.303 eV per atom.

The space group is P1 (No. 1) and the conventional cell measures 2.947, 2.952 and 5.803 Å, with angles of 77.17, 76.78 and 60.57 degrees. Symmetry generates all atoms from Si at (0.000, 0.000, 0.000), Rh at (0.802, 0.816, 0.617), C at (0.206, 0.216, 0.401) and C at (0.289, 0.294, 0.149).

# 3
An optimized crystal structure of SiRhC2, computed with PBE.

The volume is 11.77 Å³ per atom. The density of states at the Fermi level is 4.9 states/eV per cell. Its raw formation energy is 0.382 eV per atom.

The space group is Cm (No. 8) and the conventional cell measures 8.026, 2.601 and 5.999 Å, with angles of 90.00, 131.23 and 90.00 degrees. Symmetry generates all atoms from Si at (0.000, 0.000, 0.000), Rh at (0.226, 0.500, 0.442), C at (0.084, 0.000, 0.755) and C at (0.175, 0.500, 0.754).

# 4
An optimized crystal structure of SiRhC3, computed with PBE.

The volume is 12.72 Å³ per atom. The relative energy among the computed polymorphs is 446 meV/atom. The density of states at the Fermi level is 3.0 states/eV per cell. Its raw formation energy is 2.436 eV per atom.

The space group is Pm-3m (No. 221) and the conventional cell measures 3.992, 3.992 and 3.992 Å, with angles of 90.00, 90.00 and 90.00 degrees. Symmetry generates all atoms from Si at (0.000, 0.000, 0.000), Rh at (0.500, 0.500, 0.500) and C at (0.000, 0.500, 0.500).

Question: raw formation energy of number 2 (SiRhC2)?
Answer: 0.303 eV per atom